Model i:
A plane-wave DFT calculation with GGA-PBE was carried out for ScBe2Br after structural relaxation.

For the total magnetic moment, the calculation gives 0.0 μB/f.u. Its crystal system is cubic. The value obtained for the density of states at the Fermi level is 0.39 states/eV/atom.

It has space group F-43m (No. 216), with a = 6.403 Å, b = 6.403 Å, c = 6.403 Å, α = 90.00°, β = 90.00° and γ = 90.00°. The inequivalent atoms are Sc at (0.000, 0.000, 0.000), Be at (0.000, 0.000, 0.500), Be at (0.250, 0.250, 0.250) and Br at (0.250, 0.250, 0.750).

Model ii:
A plane-wave DFT calculation with GGA-PBE was carried out for ScBe2Br after structural relaxation.

For the total magnetic moment, the calculation gives 0.0 μB/f.u. Its crystal system is orthorhombic. The value obtained for the density of states at the Fermi level is 0.65 states/eV/atom.

It has space group Pmmm (No. 47), with a = 3.418 Å, b = 3.850 Å, c = 5.369 Å, α = 90.00°, β = 90.00° and γ = 90.00°. The inequivalent atoms are Sc at (0.000, 0.000, 0.000), Be at (0.500, 0.500, 0.185) and Br at (0.000, 0.000, 0.500).

Short version: model i is the least stable of them.

Model i:
A plane-wave DFT calculation with GGA-PBE was carried out for ScBeSeBr2 after structural relaxation.

For the total magnetic moment, the calculation gives 0.8 μB/f.u. Its crystal system is tetragonal. The value obtained for the density of states at the Fermi level is 0.87 states/eV/atom.

It has space group P4/mmm (No. 123), with a = 4.652 Å, b = 4.652 Å, c = 5.011 Å, α = 90.00°, β = 90.00° and γ = 90.00°. The inequivalent atoms are Sc at (0.000, 0.000, 0.000), Be at (0.500, 0.500, 0.500), Se at (0.500, 0.500, 0.000) and Br at (0.000, 0.500, 0.500).

Model ii:
A plane-wave DFT calculation with GGA-PBE was carried out for ScBeSeBr2 after structural relaxation.

For the total magnetic moment, the calculation gives 0.2 μB/f.u. Its crystal system is tetragonal. The value obtained for the density of states at the Fermi level is 0.50 states/eV/atom.

It has space group P4/mmm (No. 123), with a = 5.204 Å, b = 5.204 Å, c = 5.343 Å, α = 90.00°, β = 90.00° and γ = 90.00°. The inequivalent atoms are Sc at (0.000, 0.000, 0.000), Be at (0.500, 0.500, 0.500), Se at (0.000, 0.000, 0.500) and Br at (0.000, 0.500, 0.000).

Short version: model ii is the least stable of them.

Model i:
A plane-wave DFT calculation with GGA-PBE was carried out for BeSe2Br after structural relaxation.

For the total magnetic moment, the calculation gives 0.0 μB/f.u. Its crystal system is tetragonal. The value obtained for the density of states at the Fermi level is 0.59 states/eV/atom.

It has space group P4/mmm (No. 123), with a = 3.261 Å, b = 3.261 Å, c = 7.696 Å, α = 90.00°, β = 90.00° and γ = 90.00°. The inequivalent atoms are Be at (0.000, 0.000, 0.000), Se at (0.500, 0.500, 0.158) and Br at (0.000, 0.000, 0.500).

Model ii:
A plane-wave DFT calculation with GGA-PBE was carried out for BeSe2Br after structural relaxation.

For the total magnetic moment, the calculation gives 0.0 μB/f.u. Its crystal system is trigonal. The value obtained for the density of states at the Fermi level is 0.79 states/eV/atom.

It has space group R-3m (No. 166, hexagonal axes), with a = 3.6760 Å, b = 3.6760 Å, c = 20.4952 Å, α = 90.00°, β = 90.00° and γ = 120.00°. The inequivalent atoms are Be at (0.0000, 0.0000, 0.0000), Se at (0.0000, 0.0000, 0.2768) and Br at (0.0000, 0.0000, 0.5000).

Model iii:
A plane-wave DFT calculation with GGA-PBE was carried out for BeSe2Br after structural relaxation.

For the total magnetic moment, the calculation gives 0.0 μB/f.u. Its crystal system is orthorhombic. The value obtained for the density of states at the Fermi level is 0.17 states/eV/atom.

It has space group Cmm2 (No. 35), with a = 3.283 Å, b = 7.376 Å, c = 8.843 Å, α = 90.00°, β = 90.00° and γ = 90.00°. The inequivalent atoms are Be at (0.000, 0.000, 0.000), Se at (0.000, 0.000, 0.406), Se at (0.000, 0.500, 0.190) and Br at (0.000, 0.500, 0.833).

Model iv:
A plane-wave DFT calculation with GGA-PBE was carried out for BeSe2Br after structural relaxation.

For the total magnetic moment, the calculation gives 0.0 μB/f.u. Its crystal system is monoclinic. The value obtained for the density of states at the Fermi level is 0.16 states/eV/atom.

It has space group Pm (No. 6), with a = 4.254 Å, b = 3.492 Å, c = 7.588 Å, α = 90.00°, β = 96.04° and γ = 90.00°. The inequivalent atoms are Be at (0.000, 0.000, 0.000), Se at (0.233, 0.000, 0.265), Se at (0.717, 0.500, 0.246) and Br at (0.006, 0.500, 0.821).

Short version: model i is the least stable of them.

Model i:
A plane-wave DFT calculation with GGA-PBE was carried out for BeSe2Br after structural relaxation.

For the total magnetic moment, the calculation gives 0.2 μB/f.u. Its crystal system is tetragonal. The value obtained for the density of states at the Fermi level is 0.52 states/eV/atom.

It has space group P4mm (No. 99), with a = 3.405 Å, b = 3.405 Å, c = 8.228 Å, α = 90.00°, β = 90.00° and γ = 90.00°. The inequivalent atoms are Be at (0.000, 0.000, 0.000), Se at (0.000, 0.000, 0.745), Se at (0.500, 0.500, 0.072) and Br at (0.500, 0.500, 0.363).

Model ii:
A plane-wave DFT calculation with GGA-PBE was carried out for BeSe2Br after structural relaxation.

For the total magnetic moment, the calculation gives 0.0 μB/f.u. Its crystal system is cubic. The value obtained for the density of states at the Fermi level is 0.73 states/eV/atom.

It has space group F-43m (No. 216), with a = 6.774 Å, b = 6.774 Å, c = 6.774 Å, α = 90.00°, β = 90.00° and γ = 90.00°. The inequivalent atoms are Be at (0.000, 0.000, 0.000), Se at (0.000, 0.000, 0.500), Se at (0.250, 0.250, 0.250) and Br at (0.250, 0.250, 0.750).

Model iii:
A plane-wave DFT calculation with GGA-PBE was carried out for BeSe2Br after structural relaxation.

For the total magnetic moment, the calculation gives 0.0 μB/f.u. Its crystal system is orthorhombic. The value obtained for the density of states at the Fermi level is 0.75 states/eV/atom.

It has space group Cmmm (No. 65), with a = 4.638 Å, b = 12.274 Å, c = 4.067 Å, α = 90.00°, β = 90.00° and γ = 90.00°. The inequivalent atoms are Be at (0.000, 0.000, 0.000), Se at (0.250, 0.250, 0.500) and Br at (0.000, 0.500, 0.000).

Short version: model ii is the least stable of them.

Model i:
A plane-wave DFT calculation with GGA-PBE was carried out for BeSe2Br after structural relaxation.

For the total magnetic moment, the calculation gives 0.0 μB/f.u. Its crystal system is tetragonal. The value obtained for the density of states at the Fermi level is 0.37 states/eV/atom.

It has space group I4/mmm (No. 139), with a = 5.471 Å, b = 5.471 Å, c = 5.611 Å, α = 90.00°, β = 90.00° and γ = 90.00°. The inequivalent atoms are Be at (0.000, 0.000, 0.000), Se at (0.000, 0.500, 0.000) and Br at (0.000, 0.000, 0.500).

Model ii:
A plane-wave DFT calculation with GGA-PBE was carried out for BeSe2Br after structural relaxation.

For the total magnetic moment, the calculation gives 0.0 μB/f.u. Its crystal system is tetragonal. The value obtained for the density of states at the Fermi level is 0.75 states/eV/atom.

It has space group P4/mmm (No. 123), with a = 3.680 Å, b = 3.680 Å, c = 6.946 Å, α = 90.00°, β = 90.00° and γ = 90.00°. The inequivalent atoms are Be at (0.000, 0.000, 0.000), Se at (0.000, 0.500, 0.500) and Br at (0.500, 0.500, 0.000).

Model iii:
A plane-wave DFT calculation with GGA-PBE was carried out for BeSe2Br after structural relaxation.

For the total magnetic moment, the calculation gives 0.0 μB/f.u. Its crystal system is orthorhombic. The value obtained for the density of states at the Fermi level is 0.77 states/eV/atom.

It has space group Immm (No. 71), with a = 3.580 Å, b = 5.380 Å, c = 9.909 Å, α = 90.00°, β = 90.00° and γ = 90.00°. The inequivalent atoms are Be at (0.000, 0.000, 0.000), Se at (0.000, 0.500, 0.357) and Br at (0.000, 0.000, 0.500).

Short version: model i is the least stable of them.

Model i:
A plane-wave DFT calculation with GGA-PBE was carried out for BeSe2Br after structural relaxation.

For the total magnetic moment, the calculation gives 0.0 μB/f.u. Its crystal system is monoclinic. The value obtained for the density of states at the Fermi level is 0.43 states/eV/atom.

It has space group P2/m (No. 10), with a = 4.668 Å, b = 3.699 Å, c = 5.194 Å, α = 90.00°, β = 106.22° and γ = 90.00°. The inequivalent atoms are Be at (0.000, 0.000, 0.000), Se at (0.338, 0.500, 0.137) and Br at (0.000, 0.000, 0.500).

Model ii:
A plane-wave DFT calculation with GGA-PBE was carried out for BeSe2Br after structural relaxation.

For the total magnetic moment, the calculation gives 0.0 μB/f.u. Its crystal system is tetragonal. The value obtained for the density of states at the Fermi level is 0.88 states/eV/atom.

It has space group I-42d (No. 122), with a = 6.035 Å, b = 6.035 Å, c = 10.928 Å, α = 90.00°, β = 90.00° and γ = 90.00°. The inequivalent atoms are Be at (0.000, 0.000, 0.000), Se at (0.138, 0.250, 0.125) and Br at (0.000, 0.000, 0.500).

Short version: model ii is the least stable of them.

Model i:
A plane-wave DFT calculation with GGA-PBE was carried out for BeSe2Br after structural relaxation.

For the total magnetic moment, the calculation gives 0.0 μB/f.u. Its crystal system is orthorhombic. The value obtained for the density of states at the Fermi level is 0.69 states/eV/atom.

It has space group Imm2 (No. 44), with a = 3.266 Å, b = 7.981 Å, c = 8.618 Å, α = 90.00°, β = 90.00° and γ = 90.00°. The inequivalent atoms are Be at (0.000, 0.000, 0.000), Se at (0.000, 0.000, 0.576), Se at (0.000, 0.500, 0.300) and Br at (0.000, 0.500, 0.667).

Model ii:
A plane-wave DFT calculation with GGA-PBE was carried out for BeSe2Br after structural relaxation.

For the total magnetic moment, the calculation gives 0.0 μB/f.u. Its crystal system is monoclinic. The value obtained for the density of states at the Fermi level is 0.18 states/eV/atom.

It has space group Cm (No. 8), with a = 12.668 Å, b = 3.224 Å, c = 5.624 Å, α = 90.00°, β = 105.10° and γ = 90.00°. The inequivalent atoms are Be at (0.000, 0.000, 0.000), Se at (0.340, 0.000, 0.927), Se at (0.444, 0.000, 0.644) and Br at (0.110, 0.500, 0.224).

Model iii:
A plane-wave DFT calculation with GGA-PBE was carried out for BeSe2Br after structural relaxation.

For the total magnetic moment, the calculation gives 0.0 μB/f.u. Its crystal system is tetragonal. The value obtained for the density of states at the Fermi level is 0.59 states/eV/atom.

It has space group I4/mmm (No. 139), with a = 3.681 Å, b = 3.681 Å, c = 14.210 Å, α = 90.00°, β = 90.00° and γ = 90.00°. The inequivalent atoms are Be at (0.000, 0.000, 0.000), Se at (0.000, 0.500, 0.250) and Br at (0.000, 0.000, 0.500).

Short version: model iii is the least stable of them.

Model i:
A plane-wave DFT calculation with GGA-PBE was carried out for BeSe2Br after structural relaxation.

For the total magnetic moment, the calculation gives 0.0 μB/f.u. Its crystal system is tetragonal. The value obtained for the density of states at the Fermi level is 0.95 states/eV/atom.

It has space group P4/mmm (No. 123), with a = 5.051 Å, b = 5.051 Å, c = 3.105 Å, α = 90.00°, β = 90.00° and γ = 90.00°. The inequivalent atoms are Be at (0.000, 0.000, 0.000), Se at (0.000, 0.500, 0.500) and Br at (0.500, 0.500, 0.000).

Model ii:
A plane-wave DFT calculation with GGA-PBE was carried out for BeSe2Br after structural relaxation.

For the total magnetic moment, the calculation gives 0.0 μB/f.u. Its crystal system is trigonal. The value obtained for the density of states at the Fermi level is 0.70 states/eV/atom.

It has space group R-3m (No. 166, hexagonal axes), with a = 3.1724 Å, b = 3.1724 Å, c = 34.3172 Å, α = 90.00°, β = 90.00° and γ = 120.00°. The inequivalent atoms are Be at (0.0000, 0.0000, 0.0000), Se at (0.0000, 0.0000, 0.0592) and Br at (0.0000, 0.0000, 0.5000).

Short version: model i is the least stable of them.